Ti3CdN (GGA-PBEsol, relaxed); E = -39.313 eV for the cell shown
1.0
-3.600 2.024 0.269
-0.853 -1.986 3.529
1.855 3.015 2.145
Cd Ti N
1 3 1
direct
0.500 0.500 0.500
0.500 0.000 0.000
0.000 0.000 0.500
0.000 0.500 0.000
0.000 0.000 0.000

HfZnGe3 (GGA-PBEsol, relaxed); E = -23.597 eV for the cell shown
1.0
-1.988 3.761 1.927
-3.786 -0.638 -2.659
-1.878 -2.694 3.321
Ge Hf Zn
3 1 1
direct
0.500 0.000 0.000
0.000 0.500 0.000
0.000 0.000 0.500
0.500 0.500 0.500
0.000 0.000 0.000

SmHoO3 (GGA-PBEsol, relaxed); E = -173.393 eV for the cell shown
1.0
5.682 0.000 0.000
0.000 5.943 0.000
0.000 0.000 8.365
Sm O Ho
4 12 4
direct
0.978 0.056 0.250
0.478 0.444 0.750
0.522 0.556 0.250
0.022 0.944 0.750
0.809 0.806 0.078
0.309 0.694 0.922
0.856 0.571 0.750
0.809 0.806 0.422
0.356 0.929 0.250
0.191 0.194 0.578
0.191 0.194 0.922
0.309 0.694 0.578
0.691 0.306 0.422
0.144 0.429 0.250
0.644 0.071 0.750
0.691 0.306 0.078
0.000 0.500 0.500
0.500 0.000 0.000
0.000 0.500 0.000
0.500 0.000 0.500

Sr2LaRuN (GGA-PBEsol, relaxed); E = -23.577 eV for the cell shown
1.0
-0.563 0.898 4.926
0.580 -5.387 1.048
5.454 0.684 0.499
La N Ru Sr
1 1 1 2
direct
0.500 0.000 0.000
0.500 0.500 0.500
0.000 0.000 0.000
0.000 0.500 0.000
0.000 0.000 0.500

LiZn2Ni2 (GGA-PBEsol, relaxed); energy relative to the lowest polymorph listed for this composition = 0.000 eV/atom
1.0
2.571 0.000 0.000
0.000 7.019 0.000
0.000 0.000 7.019
Ni Zn Li
4 4 2
direct
0.500 0.129 0.629
0.500 0.371 0.129
0.500 0.629 0.871
0.500 0.871 0.371
0.000 0.834 0.666
0.000 0.334 0.834
0.000 0.666 0.166
0.000 0.166 0.334
0.000 0.500 0.500
0.000 0.000 0.000

Ti2AgB (GGA-PBEsol, relaxed); E = -51.890 eV for the cell shown
1.0
-4.468 -0.402 2.632
-2.957 -4.489 -0.566
0.081 -2.184 4.943
Ti Ag B
4 2 2
direct
0.560 0.065 0.565
0.875 0.565 0.935
0.190 0.935 0.435
0.375 0.435 0.065
0.750 0.500 0.500
0.000 0.000 0.000
0.500 0.000 0.000
0.250 0.500 0.500

KTa2Br (GGA-PBEsol, relaxed); energy relative to the lowest polymorph listed for this composition = 0.118 eV/atom
1.0
-1.120 -2.427 -0.369
4.886 -2.003 -1.652
-0.921 -0.698 7.387
K Ta Br
1 2 1
direct
0.500 0.500 0.000
0.000 0.500 0.500
0.000 0.000 0.500
0.500 0.000 0.000

Sm11Sn10 (GGA-PBEsol, relaxed); E = -231.102 eV for the cell shown
1.0
11.686 0.000 0.000
-5.843 10.371 0.037
0.000 6.549 9.678
Sm Sn
22 20
direct
0.938 0.378 0.811
0.398 0.796 0.932
0.189 0.378 0.560
0.560 0.622 0.189
0.825 0.000 0.175
0.932 0.204 0.398
0.728 0.796 0.602
0.440 0.378 0.811
0.175 0.000 0.825
0.068 0.796 0.602
0.334 0.667 0.666
0.398 0.796 0.272
0.062 0.622 0.189
0.811 0.622 0.440
0.666 0.333 0.334
0.825 0.000 0.825
0.272 0.204 0.398
0.602 0.204 0.068
0.189 0.378 0.062
0.811 0.622 0.938
0.602 0.204 0.728
0.175 0.000 0.175
0.643 0.000 0.000
0.890 0.781 0.110
0.628 0.000 0.628
0.000 0.000 0.357
0.530 0.647 0.883
0.470 0.353 0.117
0.117 0.647 0.470
0.750 0.500 0.750
0.110 0.219 0.890
0.628 0.000 0.372
0.117 0.647 0.883
0.000 0.000 0.643
0.372 0.000 0.372
0.883 0.353 0.530
0.470 0.353 0.530
0.530 0.647 0.470
0.250 0.500 0.250
0.372 0.000 0.628
0.883 0.353 0.117
0.357 0.000 0.000

Hf2FeOs (GGA-PBEsol, relaxed); E = -44.299 eV for the cell shown
1.0
4.477 0.000 0.000
2.239 3.877 0.000
2.239 1.292 3.656
Fe Hf Os
1 2 1
direct
0.000 0.000 0.000
0.250 0.250 0.250
0.750 0.750 0.750
0.500 0.500 0.500

Re3Mo2 (GGA-PBEsol, relaxed); energy relative to the lowest polymorph listed for this composition = 0.506 eV/atom
1.0
4.249 0.000 0.000
-2.125 3.680 0.000
0.000 0.000 5.274
Re Mo
3 2
direct
0.333 0.667 0.349
0.000 0.000 0.000
0.667 0.333 0.651
0.333 0.667 0.827
0.667 0.333 0.173

HgPtAu2 (GGA-PBEsol, relaxed); E = -15.207 eV for the cell shown
1.0
-0.323 2.865 -0.620
-4.536 -1.974 0.256
0.753 1.128 4.818
Au Hg Pt
2 1 1
direct
0.003 0.007 0.998
0.252 0.505 0.760
0.496 0.993 0.490
0.748 0.496 0.252

MgTe2W (GGA-PBEsol, relaxed); E = -21.656 eV for the cell shown
1.0
3.247 0.000 0.000
0.000 4.774 0.000
-1.623 -2.387 6.496
Te Mg W
2 1 1
direct
0.835 0.835 0.670
0.165 0.165 0.330
0.000 0.500 0.000
0.500 0.000 0.000